First-principles (PBE+U) data for a relaxed Na2CoSiCO7 crystal, as listed in Alexandria.

```
Na2CoSiCO7
1.0
-3.281 -3.667 -1.432
8.659 -5.289 -5.797
-1.339 -3.335 11.119
O C Na Co Si
28 4 8 4 4
direct
0.527 0.935 0.815
0.474 0.065 0.185
0.235 0.314 0.655
0.765 0.686 0.345
0.743 0.339 0.411
0.235 0.095 0.436
0.765 0.405 0.064
0.042 0.562 0.688
0.743 0.839 0.911
0.765 0.186 0.845
0.526 0.435 0.315
0.641 0.660 0.090
0.359 0.840 0.410
0.235 0.595 0.936
0.188 0.586 0.164
0.812 0.914 0.336
0.257 0.161 0.089
0.235 0.814 0.155
0.474 0.565 0.685
0.812 0.414 0.836
0.359 0.340 0.910
0.957 0.438 0.312
0.641 0.160 0.590
0.042 0.062 0.187
0.257 0.661 0.589
0.958 0.938 0.813
0.765 0.905 0.564
0.188 0.086 0.664
0.257 0.096 0.154
0.743 0.904 0.846
0.743 0.404 0.346
0.257 0.596 0.654
0.753 0.128 0.370
0.753 0.628 0.871
0.752 0.380 0.622
0.248 0.620 0.378
0.248 0.120 0.878
0.247 0.372 0.129
0.247 0.872 0.630
0.752 0.880 0.122
0.815 0.576 0.174
0.185 0.924 0.326
0.815 0.076 0.674
0.185 0.424 0.826
0.682 0.837 0.413
0.318 0.663 0.087
0.682 0.337 0.913
0.318 0.163 0.587
```

Calculated values
The total magnetization is 5.00 μB/f.u. As for the energy: -6.4343 eV per atom.